Below is a relaxed structure of LaSi2, with properties calculated at the PBEsol level.

Results
raw formation energy = -0.73 eV/atom
E_tot = -76.10 eV/cell

```
data_LaSi2
_chemical_formula_sum 'La4 Si8'
_symmetry_space_group_name_H-M 'I 41/a m d'
_symmetry_Int_Tables_number 141
_cell_length_a 4.281
_cell_length_b 4.281
_cell_length_c 13.754
_cell_angle_alpha 90.00
_cell_angle_beta 90.00
_cell_angle_gamma 90.00
loop_
_symmetry_equiv_pos_as_xyz
'x,y,z'
'-x,-y,-z'
'-y+1/4,x+3/4,z+1/4'
'y+1/4,-x+3/4,-z+1/4'
'-x+1/2,-y,z+1/2'
'x+1/2,y,-z+1/2'
'y+1/4,-x+1/4,z+3/4'
'-y+1/4,x+1/4,-z+3/4'
'x,-y,-z'
'-x,y,z'
'-y+1/4,-x+1/4,-z+3/4'
'y+1/4,x+1/4,z+3/4'
'-x+1/2,y,-z+1/2'
'x+1/2,-y,z+1/2'
'y+1/4,x+3/4,-z+1/4'
'-y+1/4,-x+3/4,z+1/4'
'x+1/2,y+1/2,z+1/2'
'-x+1/2,-y+1/2,-z+1/2'
'-y+3/4,x+1/4,z+3/4'
'y+3/4,-x+1/4,-z+3/4'
'-x,-y+1/2,z'
'x,y+1/2,-z'
'y+3/4,-x+3/4,z+1/4'
'-y+3/4,x+3/4,-z+1/4'
'x+1/2,-y+1/2,-z+1/2'
'-x+1/2,y+1/2,z+1/2'
'-y+3/4,-x+3/4,-z+1/4'
'y+3/4,x+3/4,z+1/4'
'-x,y+1/2,-z'
'x,-y+1/2,z'
'y+3/4,x+1/4,-z+3/4'
'-y+3/4,-x+1/4,z+3/4'
loop_
_atom_site_label
_atom_site_fract_x
_atom_site_fract_y
_atom_site_fract_z
La1 0.000 0.250 0.375
Si1 0.000 0.250 0.790
```